Computed, not measured: VZn2SnF after structural relaxation at the GGA+U level of DFT.

Cell lengths 4.710, 4.184, 4.710 Å; angles 90.00, 90.00, 90.00 degrees
Site moments in Bohr magnetons follow the coordinates.
Sites, in units of the cell vectors:
Zn 0.000 0.000 0.500  -0.01
Zn 0.500 0.000 0.000  -0.02
F 0.000 0.000 0.000  0.02
Sn 0.500 0.500 0.500  -0.04
V 0.000 0.500 0.000  2.75

Computed properties:
The calculation puts the density at 5.7 Mg/m³. Its density of states at the Fermi level is 1.8 states/eV/cell. The calculation puts the magnetic moment at 3.0 μB/f.u. The electronic total energy is -16.90 eV for the cell shown.